Below is a geometry-optimized CsBaP structure, with properties calculated at the PBE-GGA level. Values from VASP.

Magnetic moment ... 0.00 μB/cell
Total DFT energy (no corrections) ... -19.7 eV per cell
Crystal system ... triclinic
ΔH_f (0 K) ... -0.5604 eV per atom

Quantum ESPRESSO input file:
```
&SYSTEM
  ibrav = 0, nat = 6, ntyp = 3
/
ATOMIC_SPECIES
Cs 132.91 Cs.upf
Ba 137.33 Ba.upf
P 30.97 P.upf
CELL_PARAMETERS angstrom
4.784 0.000 0.000
-2.358 5.360 0.000
-1.920 -0.906 13.733
ATOMIC_POSITIONS crystal
Cs 0.228 0.206 0.339
Cs 0.772 0.794 0.661
Ba 0.412 0.748 0.093
Ba 0.588 0.252 0.907
P 0.100 0.155 0.059
P 0.900 0.845 0.941
```